This record from Alexandria describes Sr2LaCr after structural relaxation. The functional is PBE.

```
data_Sr2LaCr
_chemical_formula_sum 'Sr2 La1 Cr1'
_symmetry_space_group_name_H-M 'P 1'
_symmetry_Int_Tables_number 1
_cell_length_a 7.1782
_cell_length_b 7.1782
_cell_length_c 7.1782
_cell_angle_alpha 147.62
_cell_angle_beta 129.40
_cell_angle_gamma 61.36
loop_
_symmetry_equiv_pos_as_xyz
'x,y,z'
loop_
_atom_site_label
_atom_site_type_symbol
_atom_site_fract_x
_atom_site_fract_y
_atom_site_fract_z
_atom_site_occupancy
Cr1 Cr 0.4866 0.4866 0.0000 1
La1 La 0.3034 0.8034 0.5000 1
Sr1 Sr 0.0026 0.0026 0.0000 1
Sr2 Sr 0.7075 0.2075 0.5000 1
```

Summary:
ΔE_f ... 0.42 eV per atom
Symmetry ... No. 44
E_tot ... -16.22 eV per cell
Size of the total moment ... 3.43 μB/f.u.

=====

This record from Alexandria describes Co5Cu after structural relaxation. The functional is PBE.

```
data_Co5Cu
_chemical_formula_sum 'Co5 Cu1'
_symmetry_space_group_name_H-M 'P 1'
_symmetry_Int_Tables_number 1
_cell_length_a 4.7804
_cell_length_b 4.7804
_cell_length_c 9.5409
_cell_angle_alpha 140.70
_cell_angle_beta 140.70
_cell_angle_gamma 30.72
loop_
_symmetry_equiv_pos_as_xyz
'x,y,z'
loop_
_atom_site_label
_atom_site_type_symbol
_atom_site_fract_x
_atom_site_fract_y
_atom_site_fract_z
_atom_site_occupancy
Co1 Co 0.9946 0.9946 0.9949 1
Co2 Co 0.1089 0.1089 0.7202 1
Co3 Co 0.3298 0.3298 0.6621 1
Co4 Co 0.4507 0.4507 0.3978 1
Co5 Co 0.6699 0.6699 0.3322 1
Cu1 Cu 0.7793 0.7793 0.0594 1
```

Summary:
ΔE_f ... 0.07 eV per atom
Symmetry ... No. 8
E_tot ... -39.18 eV per cell
Size of the total moment ... 8.18 μB/f.u.

=====

This record from Alexandria describes K2V2AgSe6 after structural relaxation. The functional is PBE.

```
data_K2V2AgSe6
_chemical_formula_sum 'K2 V2 Ag1 Se6'
_symmetry_space_group_name_H-M 'P 1'
_symmetry_Int_Tables_number 1
_cell_length_a 7.5168
_cell_length_b 7.5168
_cell_length_c 8.1847
_cell_angle_alpha 62.66
_cell_angle_beta 62.66
_cell_angle_gamma 60.00
loop_
_symmetry_equiv_pos_as_xyz
'x,y,z'
loop_
_atom_site_label
_atom_site_type_symbol
_atom_site_fract_x
_atom_site_fract_y
_atom_site_fract_z
_atom_site_occupancy
K1 K 0.7595 0.7595 0.7214 1
K2 K 0.2405 0.2405 0.2786 1
V1 V 0.4380 0.4380 0.6859 1
V2 V 0.5620 0.5620 0.3141 1
Ag1 Ag 0.0000 0.0000 0.0000 1
Se1 Se 0.7525 0.7525 0.2546 1
Se2 Se 0.2405 0.7525 0.2546 1
Se3 Se 0.7525 0.2405 0.2546 1
Se4 Se 0.2475 0.7595 0.7454 1
Se5 Se 0.7595 0.2475 0.7454 1
Se6 Se 0.2475 0.2475 0.7454 1
```

Summary:
Raw formation energy ... -5.65 eV per formula unit
Symmetry ... No. 166
E_tot ... -49.84 eV per cell
Size of the total moment ... 0.00 μB/f.u.